This record from OQMD via LeMat-Bulk describes an optimized crystal structure of TaBeAg. The functional is PBE.

The structure in CIF format:
```
data_TaBeAg
_chemical_formula_sum 'Ta4 Be4 Ag4'
_cell_length_a 5.732
_cell_length_b 5.732
_cell_length_c 5.732
_cell_angle_alpha 90.00
_cell_angle_beta 90.00
_cell_angle_gamma 90.00
_space_group_name_H-M_alt 'F -4 3 m'
_space_group_IT_number 216
_space_group_name_Hall 'F -4 2 3'
loop_
_atom_site_label
_atom_site_type_symbol
_atom_site_fract_x
_atom_site_fract_y
_atom_site_fract_z
_atom_site_occupancy
Ta1 Ta 0.000 0.000 0.000 1
Be1 Be 0.250 0.250 0.750 1
Ag1 Ag 0.000 0.000 0.500 1
```

E_tot in eV per atom: -5.52